Compound: NiMo6C
Source: Alexandria via LeMat-Bulk
Functional: GGA-PBE
Structure: optimized geometry

Unit cell a=5.4612 b=5.4615 c=5.5689 alpha=60.64 beta=60.64 gamma=60.00
Last column: nearest neighbours and their distance in Å.
Fractional coordinates of all 8 atoms:
1 Ni 0.5000 0.5000 0.5000  6 Mo 2.43
2 Mo 0.0112 0.4430 0.7517  1 C 2.13
3 Mo 0.7940 0.0112 0.7517  1 C 2.13
4 Mo 0.5570 0.2059 0.2483  1 C 2.13
5 Mo 0.2060 0.9888 0.2483  1 C 2.13
6 Mo 0.9888 0.5570 0.2483  1 C 2.13
7 Mo 0.4430 0.7941 0.7517  1 C 2.13
8 C 0.0000 0.0000 0.0000  6 Mo 2.13

Properties
ΔE_f, eV per atom: 0.39
Total energy, hartree per atom: -0.35325